No. 1
A plane-wave DFT calculation with PBE+U was carried out for a geometry-optimized Li4Ti3V3Cu2O16 structure.

## Properties
Electronic total energy in eV per atom: -7.162

```
data_Li4Ti3V3Cu2O16
_cell_length_a 5.8823
_cell_length_b 5.8877
_cell_length_c 9.8590
_cell_angle_alpha 92.29
_cell_angle_beta 92.45
_cell_angle_gamma 118.76
_space_group_name_H-M_alt 'P 1'
_space_group_IT_number 1
_space_group_name_Hall 'P 1'
loop_
_atom_site_label
_atom_site_type_symbol
_atom_site_fract_x
_atom_site_fract_y
_atom_site_fract_z
Li1 Li 0.0000 0.0000 0.0000
Li2 Li 0.0259 0.9527 0.4984
Li3 Li 0.3101 0.5856 0.0931
Li4 Li 0.6346 0.2739 0.5922
Ti1 Ti 0.1047 0.7609 0.7826
Ti2 Ti 0.1755 0.3063 0.7749
Ti3 Ti 0.3400 0.1256 0.2812
V1 V 0.6394 0.8245 0.7766
V2 V 0.8089 0.0775 0.2725
V3 V 0.8484 0.5970 0.2805
Cu1 Cu 0.3211 0.6090 0.5017
Cu2 Cu 0.6466 0.2799 0.0037
O1 O 0.1631 0.2635 0.3860
O2 O 0.1815 0.7862 0.3868
O3 O 0.3105 0.1363 0.8883
O4 O 0.3215 0.6457 0.8864
O5 O 0.4406 0.4598 0.6542
O6 O 0.4490 0.9065 0.6554
O7 O 0.4936 0.3901 0.1569
O8 O 0.5083 0.9396 0.1751
O9 O 0.6777 0.2754 0.3877
O10 O 0.7104 0.7723 0.3798
O11 O 0.8180 0.6750 0.8826
O12 O 0.8264 0.1426 0.8870
O13 O 0.9423 0.4025 0.1565
O14 O 0.9681 0.9600 0.6789
O15 O 0.9843 0.4624 0.6746
O16 O 0.9974 0.9212 0.1783
```



No. 2
A plane-wave DFT calculation with PBE+U was carried out for a geometry-optimized Li4Ti2V3Cu3O16 structure.

## Properties
Electronic total energy in eV per atom: -6.650
E above lowest polymorph in eV per atom: 0.000

```
data_Li4Ti2V3Cu3O16
_cell_length_a 5.7581
_cell_length_b 6.1043
_cell_length_c 10.9287
_cell_angle_alpha 90.11
_cell_angle_beta 94.15
_cell_angle_gamma 110.78
_space_group_name_H-M_alt 'P 1'
_space_group_IT_number 1
_space_group_name_Hall 'P 1'
loop_
_atom_site_label
_atom_site_type_symbol
_atom_site_fract_x
_atom_site_fract_y
_atom_site_fract_z
Li1 Li 0.0000 0.0000 0.0000
Li2 Li 0.1434 0.4710 0.9189
Li3 Li 0.3337 0.1658 0.3983
Li4 Li 0.7166 0.6799 0.3572
Ti1 Ti 0.4043 0.5627 0.6255
Ti2 Ti 0.6667 0.4612 0.9246
V1 V 0.7893 0.1327 0.2616
V2 V 0.9391 0.0758 0.5683
V3 V 0.9453 0.6289 0.6488
Cu1 Cu 0.3298 0.9565 0.8194
Cu2 Cu 0.4104 0.3523 0.1451
Cu3 Cu 0.4629 0.8802 0.0389
O1 O 0.0105 0.2148 0.1573
O2 O 0.0447 0.9429 0.7116
O3 O 0.1593 0.6758 0.5317
O4 O 0.2150 0.5954 0.7569
O5 O 0.2872 0.2751 0.5575
O6 O 0.3746 0.1446 0.9814
O7 O 0.4522 0.5698 0.0124
O8 O 0.5651 0.8624 0.2207
O9 O 0.6159 0.3245 0.2925
O10 O 0.6505 0.5240 0.7532
O11 O 0.6671 0.9799 0.8798
O12 O 0.6935 0.7393 0.5430
O13 O 0.7991 0.2689 0.5966
O14 O 0.8262 0.2187 0.9065
O15 O 0.9547 0.0530 0.3886
O16 O 0.9561 0.6581 0.9822
```



No. 3
A plane-wave DFT calculation with PBE+U was carried out for a geometry-optimized Li4Ti2V3Cu3O16 structure.

## Properties
Electronic total energy in eV per atom: -6.581
E above lowest polymorph in eV per atom: 0.068

```
data_Li4Ti2V3Cu3O16
_cell_length_a 5.7641
_cell_length_b 5.8338
_cell_length_c 10.7117
_cell_angle_alpha 76.35
_cell_angle_beta 88.34
_cell_angle_gamma 66.89
_space_group_name_H-M_alt 'P 1'
_space_group_IT_number 1
_space_group_name_Hall 'P 1'
loop_
_atom_site_label
_atom_site_type_symbol
_atom_site_fract_x
_atom_site_fract_y
_atom_site_fract_z
Li1 Li 0.0000 0.0000 0.0000
Li2 Li 0.0861 0.9288 0.5855
Li3 Li 0.3962 0.5386 0.0693
Li4 Li 0.6508 0.7721 0.5230
Ti1 Ti 0.2864 0.3738 0.5643
Ti2 Ti 0.9175 0.5032 0.1067
V1 V 0.0763 0.6280 0.8413
V2 V 0.5461 0.8230 0.8002
V3 V 0.7696 0.3341 0.3664
Cu1 Cu 0.0088 0.7300 0.3232
Cu2 Cu 0.3418 0.9078 0.2396
Cu3 Cu 0.5069 0.1850 0.8945
O1 O 0.0173 0.1884 0.2314
O2 O 0.0259 0.6858 0.5034
O3 O 0.0339 0.2587 0.4694
O4 O 0.0712 0.6957 0.1552
O5 O 0.1868 0.3658 0.9997
O6 O 0.2631 0.8006 0.8928
O7 O 0.3044 0.4184 0.7346
O8 O 0.3882 0.9772 0.6427
O9 O 0.5321 0.4780 0.4917
O10 O 0.5805 0.1264 0.3938
O11 O 0.6053 0.5902 0.2083
O12 O 0.6282 0.9432 0.3139
O13 O 0.7319 0.3521 0.9789
O14 O 0.7444 0.8292 0.9478
O15 O 0.7735 0.4636 0.8442
O16 O 0.8595 0.8522 0.7141
```



No. 4
A plane-wave DFT calculation with PBE+U was carried out for a geometry-optimized Li4Ti3Cu3W2O16 structure.

## Properties
Electronic total energy in eV per atom: -6.951

```
data_Li4Ti3Cu3W2O16
_cell_length_a 10.4324
_cell_length_b 5.9416
_cell_length_c 10.0500
_cell_angle_alpha 90.00
_cell_angle_beta 92.70
_cell_angle_gamma 90.00
_space_group_name_H-M_alt 'C 1 m 1'
_space_group_IT_number 8
_space_group_name_Hall 'C -2y'
loop_
_atom_site_label
_atom_site_type_symbol
_atom_site_fract_x
_atom_site_fract_y
_atom_site_fract_z
Li1 Li 0.0000 0.0000 0.0000
Li2 Li 0.0163 0.0000 0.5156
Li3 Li 0.1752 0.5000 0.0716
Li4 Li 0.3502 0.0000 0.5752
Ti1 Ti 0.3306 0.5000 0.7543
Ti2 Ti 0.4138 0.2521 0.2705
Cu1 Cu 0.0902 0.2566 0.7907
Cu2 Cu 0.1790 0.0000 0.2861
W1 W 0.1643 0.5000 0.5034
W2 W 0.3384 0.0000 0.0012
O1 O 0.0045 0.0000 0.1910
O2 O 0.0049 0.0000 0.7075
O3 O 0.0355 0.5000 0.6235
O4 O 0.0886 0.2605 0.4005
O5 O 0.1728 0.0000 0.9302
O6 O 0.1878 0.5000 0.8700
O7 O 0.2694 0.2877 0.6209
O8 O 0.2798 0.2350 0.1419
O9 O 0.3399 0.5000 0.3792
O10 O 0.3571 0.0000 0.3769
O11 O 0.4053 0.2411 0.9052
O12 O 0.4872 0.0000 0.1514
```